Entry 1:
! MnNbI6 PBE optimized geometry; values from VASP
! M_tot: 6.0 μB per formula unit
! D(E_F): 0.254 states/eV per atom
! Final energy: -31.49 eV per cell
! Space group: No. 12
&SYSTEM
  ibrav = 0, nat = 8, ntyp = 3
/
ATOMIC_SPECIES
Mn 54.94 Mn.upf
Nb 92.91 Nb.upf
I 126.90 I.upf
CELL_PARAMETERS angstrom
6.767 -1.668 -1.786
-3.931 6.783 -2.406
0.874 0.755 7.688
ATOMIC_POSITIONS angstrom
Mn 0.000 0.000 0.000
Nb -1.966 3.392 -1.203
I 6.011 -0.175 3.713
I -0.324 2.626 0.998
I 4.035 3.244 2.498
I -2.300 6.045 -0.217
I 0.275 4.195 -2.597
I 2.561 0.921 -1.595

Entry 2:
! MnNb2PI PBE optimized geometry; values from VASP
! M_tot: 3.2 μB per formula unit
! D(E_F): 1.082 states/eV per atom
! Final energy: -26.45 eV per cell
! Space group: No. 123
&SYSTEM
  ibrav = 0, nat = 5, ntyp = 4
/
ATOMIC_SPECIES
I 126.90 I.upf
P 30.97 P.upf
Nb 92.91 Nb.upf
Mn 54.94 Mn.upf
CELL_PARAMETERS angstrom
-3.236 0.226 -3.878
2.825 -3.451 -2.558
-2.715 -3.741 2.048
ATOMIC_POSITIONS angstrom
I 0.000 0.000 0.000
P 1.413 -1.726 -1.279
Nb -1.358 -1.870 1.024
Nb -1.618 0.113 -1.939
Mn -1.563 -3.483 -2.194

Entry 3:
! MnNbPb2I PBE optimized geometry; values from VASP
! M_tot: 5.0 μB per formula unit
! D(E_F): 0.802 states/eV per atom
! Final energy: -23.92 eV per cell
! Space group: No. 123
&SYSTEM
  ibrav = 0, nat = 5, ntyp = 4
/
ATOMIC_SPECIES
Pb 207.20 Pb.upf
I 126.90 I.upf
Nb 92.91 Nb.upf
Mn 54.94 Mn.upf
CELL_PARAMETERS angstrom
-2.304 5.126 0.126
-1.291 -0.452 -5.201
-4.946 -2.258 1.424
ATOMIC_POSITIONS angstrom
Pb -2.473 -1.129 0.712
Pb -1.152 2.563 0.063
I -0.645 -0.226 -2.601
Nb 0.000 0.000 0.000
Mn -4.271 1.208 -1.826

Entry 4:
! Rb2MnNbI6 PBE optimized geometry; values from VASP
! M_tot: 7.9 μB per formula unit
! D(E_F): 0.418 states/eV per atom
! Final energy: -37.29 eV per cell
! Space group: No. 225
&SYSTEM
  ibrav = 0, nat = 10, ntyp = 4
/
ATOMIC_SPECIES
I 126.90 I.upf
Nb 92.91 Nb.upf
Mn 54.94 Mn.upf
Rb 85.47 Rb.upf
CELL_PARAMETERS angstrom
8.244 0.000 0.000
0.000 8.244 0.000
4.122 4.122 5.832
ATOMIC_POSITIONS angstrom
I 4.122 4.122 2.900
I 8.244 8.244 2.932
I 2.074 2.074 0.000
I 6.170 6.170 0.000
I 6.170 2.074 0.000
I 2.074 6.170 0.000
Nb 0.000 0.000 0.000
Mn 4.122 4.122 0.000
Rb 8.244 4.122 2.916
Rb 4.122 8.244 2.916

Entry 5:
! Mn2NbSI PBE optimized geometry; values from VASP
! M_tot: 1.8 μB per formula unit
! D(E_F): 2.264 states/eV per atom
! Final energy: -28.66 eV per cell
! Space group: No. 123
&SYSTEM
  ibrav = 0, nat = 5, ntyp = 4
/
ATOMIC_SPECIES
I 126.90 I.upf
Nb 92.91 Nb.upf
Mn 54.94 Mn.upf
S 32.06 S.upf
CELL_PARAMETERS angstrom
4.093 0.000 0.000
0.000 4.093 0.000
0.000 0.000 5.916
ATOMIC_POSITIONS angstrom
I 0.000 0.000 2.958
Nb 2.047 2.047 2.958
Mn 0.000 2.047 0.000
Mn 2.047 0.000 0.000
S 0.000 0.000 0.000

Entry 6:
! MnNbSI2 PBE optimized geometry; values from VASP
! M_tot: 7.2 μB per formula unit
! D(E_F): 0.967 states/eV per atom
! Final energy: -25.18 eV per cell
! Space group: No. 123
&SYSTEM
  ibrav = 0, nat = 5, ntyp = 4
/
ATOMIC_SPECIES
I 126.90 I.upf
Nb 92.91 Nb.upf
Mn 54.94 Mn.upf
S 32.06 S.upf
CELL_PARAMETERS angstrom
5.813 0.000 0.000
0.000 4.686 0.000
0.000 0.000 5.813
ATOMIC_POSITIONS angstrom
I 0.000 0.000 2.907
I 2.907 0.000 0.000
Nb 0.000 0.000 0.000
Mn 2.907 2.343 2.907
S 0.000 2.343 0.000

Question: The highest M_tot belongs to which entry?
Answer: Rb2MnNbI6